No. 1
Density functional theory data (PBE) for crystalline KRh5 at its relaxed geometry.

- raw total energy (eV/atom) = -5.910
- V (Å³/cell) = 220
- spin magnetization (Bohr magnetons per cell) = 0.0
- calculated density (g cm⁻³) = 8.34

Cell: 4.2830 2.7465 18.7445 Å, 90.00 90.00 90.00°
Space group Amm2 (No. 38)
Symmetry-distinct sites (fractional):
K 0.0000 0.0000 0.0000 [2 per cell]
Rh 0.0000 0.0000 0.3283 [2 per cell]
Rh 0.0000 0.0000 0.6957 [2 per cell]
Rh 0.5000 0.0000 0.2399 [2 per cell]
Rh 0.5000 0.0000 0.6173 [2 per cell]
Rh 0.5000 0.0000 0.8638 [2 per cell]

---

No. 2
Density functional theory data (PBE) for crystalline KRh2 at its relaxed geometry.

- raw total energy (eV/atom) = -4.539
- V (Å³/cell) = 285
- spin magnetization (Bohr magnetons per cell) = 0.0
- calculated density (g cm⁻³) = 5.71

Cell: 4.5217 4.5217 13.9439 Å, 90.00 90.00 90.00°
Space group I4_1/amd (No. 141, origin choice 2)
Symmetry-distinct sites (fractional):
K 0.0000 0.2500 0.3750 [4 per cell]
Rh 0.0000 0.2500 0.7887 [8 per cell]

---

No. 3
Density functional theory data (PBE) for crystalline KRh2 at its relaxed geometry.

- raw total energy (eV/atom) = -4.744
- V (Å³/cell) = 280
- spin magnetization (Bohr magnetons per cell) = 0.0
- calculated density (g cm⁻³) = 5.81

Cell: 2.8212 22.8214 4.3455 Å, 90.00 90.00 90.00°
Space group Cmcm (No. 63)
Symmetry-distinct sites (fractional):
K 0.0000 0.0839 0.2500 [4 per cell]
Rh 0.0000 0.2690 0.7500 [4 per cell]
Rh 0.0000 0.3313 0.2500 [4 per cell]

---

No. 4
Density functional theory data (PBE) for crystalline KRh2 at its relaxed geometry.

- raw total energy (eV/atom) = -4.814
- V (Å³/cell) = 257
- spin magnetization (Bohr magnetons per cell) = 0.0
- calculated density (g cm⁻³) = 6.33

Cell: 14.7284 2.7934 6.5125 Å, 90.00 106.50 90.00°
Space group C2/m (No. 12)
Symmetry-distinct sites (fractional):
K 0.0517 0.0000 0.2807 [4 per cell]
Rh 0.1722 0.5000 0.9242 [4 per cell]
Rh 0.2442 0.0000 0.6630 [4 per cell]

---

No. 5
Density functional theory data (PBE) for crystalline KRh5 at its relaxed geometry.

- raw total energy (eV/atom) = -5.661
- V (Å³/cell) = 194
- spin magnetization (Bohr magnetons per cell) = 0.0
- calculated density (g cm⁻³) = 9.45

Cell: 4.0040 12.2364 3.9695 Å, 90.00 90.00 90.00°
Space group Cmmm (No. 65)
Symmetry-distinct sites (fractional):
K 0.0000 0.0000 0.0000 [2 per cell]
Rh 0.0000 0.1781 0.5000 [4 per cell]
Rh 0.0000 0.3207 0.0000 [4 per cell]
Rh 0.0000 0.5000 0.5000 [2 per cell]

---

No. 6
Density functional theory data (PBE) for crystalline KRh3 at its relaxed geometry.

- excess energy over the best structure of this formula in the dataset (meV/atom) = 172
- raw total energy (eV/atom) = -5.178
- V (Å³/cell) = 135
- spin magnetization (Bohr magnetons per cell) = 0.0
- calculated density (g cm⁻³) = 8.53

Cell: 2.8356 4.7663 10.0191 Å, 90.00 90.00 90.00°
Space group Cmmm (No. 65)
Symmetry-distinct sites (fractional):
K 0.0000 0.0000 0.0000 [2 per cell]
Rh 0.0000 0.0000 0.5000 [2 per cell]
Rh 0.0000 0.5000 0.2782 [4 per cell]

---

No. 7
Density functional theory data (PBE) for crystalline KRh3 at its relaxed geometry.

- excess energy over the best structure of this formula in the dataset (meV/atom) = 66
- raw total energy (eV/atom) = -5.284
- V (Å³/cell) = 160
- spin magnetization (Bohr magnetons per cell) = 0.0
- calculated density (g cm⁻³) = 7.22

Cell: 8.8716 2.7610 6.5612 Å, 90.00 95.83 90.00°
Space group C2/m (No. 12)
Symmetry-distinct sites (fractional):
K 0.0000 0.0000 0.0000 [2 per cell]
Rh 0.0000 0.5000 0.5000 [2 per cell]
Rh 0.2341 0.0000 0.6618 [4 per cell]

---

No. 8
Density functional theory data (PBE) for crystalline KRh3 at its relaxed geometry.

- excess energy over the best structure of this formula in the dataset (meV/atom) = 93
- raw total energy (eV/atom) = -5.257
- V (Å³/cell) = 203
- spin magnetization (Bohr magnetons per cell) = 0.0
- calculated density (g cm⁻³) = 8.52

Cell: 2.8129 2.8129 29.6946 Å, 90.00 90.00 120.00°
Space group R-3m (No. 166, hexagonal axes)
Symmetry-distinct sites (fractional):
K 0.0000 0.0000 0.0000 [3 per cell]
Rh 0.0000 0.0000 0.2386 [6 per cell]
Rh 0.0000 0.0000 0.5000 [3 per cell]

---

No. 9
Density functional theory data (PBE) for crystalline KRh2 at its relaxed geometry.

- raw total energy (eV/atom) = -4.407
- V (Å³/cell) = 56
- spin magnetization (Bohr magnetons per cell) = 0.6
- calculated density (g cm⁻³) = 7.27

Cell: 4.8524 4.8524 2.7441 Å, 90.00 90.00 120.00°
Space group P6/mmm (No. 191)
Symmetry-distinct sites (fractional):
K 0.0000 0.0000 0.0000 [1 per cell]
Rh 0.3333 0.6667 0.5000 [2 per cell]

---

No. 10
Density functional theory data (PBE) for crystalline K5Rh at its relaxed geometry.

- raw total energy (eV/atom) = -1.742
- V (Å³/cell) = 306
- spin magnetization (Bohr magnetons per cell) = 0.4
- calculated density (g cm⁻³) = 1.62

Cell: 4.0704 4.0704 18.4830 Å, 90.00 90.00 90.00°
Space group P4/mmm (No. 123)
Symmetry-distinct sites (fractional):
K 0.0000 0.0000 0.0000 [1 per cell]
K 0.0000 0.0000 0.4049 [2 per cell]
K 0.5000 0.5000 0.2029 [2 per cell]
Rh 0.5000 0.5000 0.5000 [1 per cell]

---

No. 11
Density functional theory data (PBE) for crystalline K3Rh5 at its relaxed geometry.

- raw total energy (eV/atom) = -4.286
- V (Å³/cell) = 455
- spin magnetization (Bohr magnetons per cell) = 0.0
- calculated density (g cm⁻³) = 4.61

Cell: 10.7167 10.7167 4.5794 Å, 90.00 90.00 120.00°
Space group P6_3/mcm (No. 193)
Symmetry-distinct sites (fractional):
K 0.0000 0.3682 0.2500 [6 per cell]
Rh 0.0000 0.1349 0.7500 [6 per cell]
Rh 0.3333 0.6667 0.0000 [4 per cell]

---

No. 12
Density functional theory data (PBE) for crystalline KRh2 at its relaxed geometry.

- raw total energy (eV/atom) = -4.578
- V (Å³/cell) = 55
- spin magnetization (Bohr magnetons per cell) = 0.3
- calculated density (g cm⁻³) = 7.42

Cell: 2.8527 2.8527 7.7812 Å, 90.00 90.00 120.00°
Space group P-3m1 (No. 164)
Symmetry-distinct sites (fractional):
K 0.0000 0.0000 0.0000 [1 per cell]
Rh 0.3333 0.6667 0.3655 [2 per cell]

---

Question: Look up the spin magnetization of the sixth one.
Answer: 0.0 Bohr magnetons per cell

---

Question: Look up the calculated density of the third one.
Answer: 5.81 g cm⁻³

---

Question: Which value of spin magnetization does entry 4 give?
Answer: 0.0 Bohr magnetons per cell